Record 1
MnH8Pd6 after structural relaxation. Source: Alexandria via LeMat-Bulk, functional PBE.

Properties
- symmetry = R-3
- total DFT energy (no corrections) (eV/atom) = -4.53

Cell lengths 5.1762, 5.1762, 5.1762 Å; angles 99.83, 99.83, 99.83 degrees
Atoms (fractional coordinates):
Mn1 0.0000 0.0000 0.0000
H1 0.7296 0.7296 0.7296
H2 0.2704 0.2704 0.2704
H3 0.6196 0.7927 0.1614
H4 0.7927 0.1614 0.6196
H5 0.1614 0.6196 0.7927
H6 0.3804 0.2073 0.8386
H7 0.2073 0.8386 0.3804
H8 0.8386 0.3804 0.2073
Pd1 0.7178 0.4225 0.8652
Pd2 0.4225 0.8652 0.7178
Pd3 0.8652 0.7178 0.4225
Pd4 0.2822 0.5775 0.1348
Pd5 0.5775 0.1348 0.2822
Pd6 0.1348 0.2822 0.5775



Record 2
MnHPd after structural relaxation. Source: Alexandria via LeMat-Bulk, functional PBE.

Properties
- symmetry = P4/nmm
- total DFT energy (no corrections) (eV/atom) = -5.97

Cell lengths 3.0265, 3.0274, 6.9570 Å; angles 90.00, 90.00, 90.00 degrees
Atoms (fractional coordinates):
Mn1 0.8136 0.8665 0.0649
Mn2 0.3135 0.3665 0.7743
H1 0.8135 0.3665 0.9196
H2 0.3137 0.8664 0.9196
Pd1 0.8136 0.8665 0.5516
Pd2 0.3136 0.3665 0.2876



Record 3
Mn2H4Pd3 after structural relaxation. Source: Alexandria via LeMat-Bulk, functional PBE.

Properties
- symmetry = C2/m
- total DFT energy (no corrections) (eV/atom) = -5.29

Cell lengths 2.8693, 4.8355, 6.6627 Å; angles 104.74, 90.00, 107.26 degrees
Atoms (fractional coordinates):
Mn1 0.3096 0.6192 0.1929
Mn2 0.6904 0.3808 0.8071
H1 0.6845 0.3691 0.0890
H2 0.0150 0.0300 0.7233
H3 0.9850 0.9700 0.2767
H4 0.3155 0.6309 0.9110
Pd1 0.3799 0.7599 0.6111
Pd2 0.0000 0.0000 0.0000
Pd3 0.6201 0.2401 0.3889



Record 4
Mn2HPd after structural relaxation. Source: Alexandria via LeMat-Bulk, functional PBE.

Properties
- symmetry = I-42d
- total DFT energy (no corrections) (eV/atom) = -6.35

Cell lengths 5.4127, 5.4127, 4.7500 Å; angles 55.27, 55.27, 90.00 degrees
Atoms (fractional coordinates):
H1 0.5000 0.5000 0.0000
H2 0.2500 0.7500 0.5000
Mn1 0.2590 0.1250 0.2500
Mn2 0.4910 0.6250 0.2500
Mn3 0.3750 0.7410 0.7500
Mn4 0.8750 0.5090 0.7500
Pd1 0.0000 0.0000 0.0000
Pd2 0.7500 0.2500 0.5000



Record 5
MnHPd6 after structural relaxation. Source: Alexandria via LeMat-Bulk, functional PBE.

Properties
- symmetry = P-1
- total DFT energy (no corrections) (eV/atom) = -5.59

Cell lengths 6.2951, 4.8528, 6.2661 Å; angles 49.85, 72.57, 49.73 degrees
Atoms (fractional coordinates):
Mn1 0.0000 0.0000 0.0000
H1 0.5000 0.5000 0.5000
Pd1 0.1405 0.5689 0.5717
Pd2 0.7187 0.8492 0.8595
Pd3 0.5725 0.2869 0.2814
Pd4 0.2813 0.1508 0.1405
Pd5 0.8595 0.4311 0.4283
Pd6 0.4275 0.7131 0.7186



Record 6
MnH2Pd2 after structural relaxation. Source: Alexandria via LeMat-Bulk, functional PBE.

Properties
- symmetry = Pm
- total DFT energy (no corrections) (eV/atom) = -5.30

Cell lengths 2.8998, 4.4401, 4.6299 Å; angles 118.70, 90.00, 90.00 degrees
Atoms (fractional coordinates):
Mn1 0.2000 0.0531 0.0340
H1 0.2000 0.7277 0.5678
H2 0.7000 0.1525 0.4014
Pd1 0.2000 0.3752 0.6868
Pd2 0.7000 0.6914 0.3100



Record 7
MnH4Pd5 after structural relaxation. Source: Alexandria via LeMat-Bulk, functional PBE.

Properties
- symmetry = C2/m
- total DFT energy (no corrections) (eV/atom) = -4.96

Cell lengths 2.9914, 5.7934, 6.2687 Å; angles 103.51, 103.80, 90.00 degrees
Atoms (fractional coordinates):
Mn1 0.5000 0.0000 0.0000
H1 0.3143 0.8430 0.6286
H2 0.0047 0.7156 0.0095
H3 0.6857 0.1570 0.3714
H4 0.9953 0.2844 0.9905
Pd1 0.8360 0.6698 0.6720
Pd2 0.8399 0.1612 0.6798
Pd3 0.1601 0.8388 0.3202
Pd4 0.5000 0.5000 0.0000
Pd5 0.1640 0.3302 0.3280



Record 8
MnHPd after structural relaxation. Source: Alexandria via LeMat-Bulk, functional PBE.

Properties
- symmetry = P3m1
- total DFT energy (no corrections) (eV/atom) = -5.94

Cell lengths 4.4690, 2.8592, 2.8592 Å; angles 120.00, 90.00, 90.00 degrees
Atoms (fractional coordinates):
H1 0.6112 0.6667 0.3333
Mn1 0.4316 0.3333 0.6667
Pd1 0.9572 0.0000 0.0000



Record 9
MnHPd after structural relaxation. Source: Alexandria via LeMat-Bulk, functional PBE.

Properties
- symmetry = Cmcm
- total DFT energy (no corrections) (eV/atom) = -5.91

Cell lengths 8.8073, 5.2117, 2.8086 Å; angles 90.00, 90.00, 90.00 degrees
Atoms (fractional coordinates):
H1 0.4792 0.2500 0.0000
H2 0.0208 0.7500 0.5000
H3 0.5208 0.7500 0.0000
H4 0.9792 0.2500 0.5000
Mn1 0.0000 0.0000 0.0000
Mn2 0.5000 0.5000 0.5000
Mn3 0.5000 0.0000 0.5000
Mn4 0.0000 0.5000 0.0000
Pd1 0.2678 0.2500 0.0000
Pd2 0.2322 0.7500 0.5000
Pd3 0.7322 0.7500 0.0000
Pd4 0.7678 0.2500 0.5000



Record 10
MnH4Pd5 after structural relaxation. Source: Alexandria via LeMat-Bulk, functional PBE.

Properties
- symmetry = P-1
- total DFT energy (no corrections) (eV/atom) = -5.00

Cell lengths 3.9478, 5.6605, 7.7305 Å; angles 122.62, 120.64, 45.79 degrees
Atoms (fractional coordinates):
Mn1 0.5000 0.0000 0.0000
H1 0.3237 0.8255 0.6482
H2 0.6502 0.6487 0.2987
H3 0.6763 0.1745 0.3518
H4 0.3498 0.3513 0.7013
Pd1 0.8396 0.8406 0.6799
Pd2 0.8391 0.3391 0.6779
Pd3 0.1609 0.6609 0.3221
Pd4 0.5000 0.5000 0.0000
Pd5 0.1604 0.1594 0.3201



Record 11
Mn2HPd after structural relaxation. Source: Alexandria via LeMat-Bulk, functional PBE.

Properties
- symmetry = R-3m
- total DFT energy (no corrections) (eV/atom) = -6.65

Cell lengths 2.6619, 2.6619, 6.5157 Å; angles 78.21, 78.21, 60.00 degrees
Atoms (fractional coordinates):
H1 0.0000 0.0000 0.0000
Mn1 0.7172 0.7172 0.8483
Mn2 0.2828 0.2828 0.1517
Pd1 0.5000 0.5000 0.5000



Record 12
MnHPd4 after structural relaxation. Source: Alexandria via LeMat-Bulk, functional PBE.

Properties
- symmetry = P-1
- total DFT energy (no corrections) (eV/atom) = -5.64

Cell lengths 4.8507, 4.7576, 7.4171 Å; angles 86.81, 70.92, 90.08 degrees
Atoms (fractional coordinates):
Mn1 0.8179 0.2501 0.9998
Mn2 0.1821 0.7499 0.0002
H1 0.5000 0.5000 0.5000
H2 0.0000 0.0000 0.5000
Pd1 0.5694 0.7313 0.1941
Pd2 0.7636 0.7687 0.8062
Pd3 0.4306 0.2687 0.8059
Pd4 0.2364 0.2313 0.1938
Pd5 0.9636 0.7165 0.3857
Pd6 0.3497 0.7834 0.6148
Pd7 0.0364 0.2835 0.6143
Pd8 0.6503 0.2166 0.3852